Record 1
## Cs4Na3CeF12 (PBE)

Data for an optimized crystal structure of Cs4Na3CeF12.

a = 8.0160 Å, b = 8.0160 Å, c = 8.0160 Å
α = 109.47°, β = 109.47°, γ = 109.47°
Element x y z (fractional)
Cs  0.0000  0.0000  0.5000
Cs  0.0000  0.5000  0.0000
Cs  0.5000  0.0000  0.0000
Cs  0.5000  0.5000  0.5000
Na  0.0000  0.5000  0.5000
Na  0.5000  0.0000  0.5000
Na  0.5000  0.5000  0.0000
Ce  0.0000  0.0000  0.0000
F  0.0000  0.2341  0.2341
F  0.0000  0.7659  0.7659
F  0.2341  0.0000  0.2341
F  0.2341  0.2341  0.0000
F  0.2500  0.5000  0.7500
F  0.2500  0.7500  0.5000
F  0.5000  0.2500  0.7500
F  0.5000  0.7500  0.2500
F  0.7500  0.2500  0.5000
F  0.7500  0.5000  0.2500
F  0.7659  0.0000  0.7659
F  0.7659  0.7659  0.0000

Computed properties:
Its raw total energy is -4.6487 eV/atom. As for the volume: 396.5 Å³ per cell. Its space group is Im-3m (229). The calculation puts the total magnetization at 1.14 μB per cell.


Record 2
## Cs2NaCeF6 (PBE)

Data for an optimized crystal structure of Cs2NaCeF6.

a = 6.6148 Å, b = 6.6148 Å, c = 6.6148 Å
α = 60.00°, β = 60.00°, γ = 60.00°
Element x y z (fractional)
Cs  0.2500  0.2500  0.2500
Cs  0.7500  0.7500  0.7500
Na  0.0000  0.0000  0.0000
Ce  0.5000  0.5000  0.5000
F  0.2538  0.2538  0.7462
F  0.2538  0.7462  0.2538
F  0.2538  0.7462  0.7462
F  0.7462  0.2538  0.2538
F  0.7462  0.2538  0.7462
F  0.7462  0.7462  0.2538

Computed properties:
Its raw total energy is -5.2835 eV/atom. As for the volume: 204.7 Å³ per cell. Its space group is Fm-3m (225). The calculation puts the total magnetization at 1.00 μB per cell.


Record 3
## Cs3Na2CeF9 (PBE)

Data for an optimized crystal structure of Cs3Na2CeF9.

a = 6.5102 Å, b = 6.5102 Å, c = 8.2815 Å
α = 90.00°, β = 90.00°, γ = 120.00°
Element x y z (fractional)
Cs  0.0000  0.0000  0.0000
Cs  0.3333  0.6667  0.7297
Cs  0.6667  0.3333  0.2703
Na  0.3333  0.6667  0.1521
Na  0.6667  0.3333  0.8479
Ce  0.0000  0.0000  0.5000
F  0.0000  0.5000  0.0000
F  0.1567  0.3134  0.3459
F  0.1567  0.8433  0.3459
F  0.3134  0.1567  0.6541
F  0.5000  0.0000  0.0000
F  0.5000  0.5000  0.0000
F  0.6866  0.8433  0.3459
F  0.8433  0.1567  0.6541
F  0.8433  0.6866  0.6541

Computed properties:
Its raw total energy is -4.9660 eV/atom. As for the volume: 304.0 Å³ per cell. Its space group is P-3m1 (164). The calculation puts the total magnetization at 0.16 μB per cell.